Entry 1:
SrLaVIn2 | PBE | relaxed

- E (eV for the cell shown) = -19.7
- calculated volume (Å³/atom) = 29.82
- size of the total moment (Bohr magnetons per cell) = 1.2

Cell: 5.351 5.351 5.207 Å, 90.00 90.00 90.00°
Atoms (fractional coordinates):
Sr (0.000, 0.000, 0.000)
La (0.500, 0.500, 0.000)
V (0.000, 0.000, 0.500)
In (0.000, 0.500, 0.500)
In (0.500, 0.000, 0.500)

Entry 2:
SrPW | PBE | relaxed

- offset from the most stable computed form (meV per atom) = 0
- calculated volume (Å³/atom) = 24.62
- size of the total moment (Bohr magnetons per cell) = 0.0

Cell: 10.044 10.044 10.044 Å, 157.54 157.54 31.97°
Atoms (fractional coordinates):
Sr (0.152, 0.152, 0.000)
Sr (0.848, 0.848, 0.000)
P (0.414, 0.414, 0.000)
P (0.586, 0.586, 0.000)
W (0.000, 0.500, 0.500)
W (0.500, 0.000, 0.500)

Entry 3:
BaCrPt | PBE | relaxed

- offset from the most stable computed form (meV per atom) = 174
- calculated volume (Å³/atom) = 28.38
- size of the total moment (Bohr magnetons per cell) = 0.0

Cell: 6.960 6.960 6.411 Å, 111.27 111.27 36.38°
Atoms (fractional coordinates):
Ba (0.180, 0.180, 0.193)
Ba (0.820, 0.820, 0.807)
Cr (0.479, 0.479, 0.348)
Cr (0.521, 0.521, 0.652)
Pt (0.110, 0.110, 0.644)
Pt (0.890, 0.890, 0.356)

Entry 4:
H2Pd2W | PBE | relaxed

- E (eV for the cell shown) = -29.6
- calculated volume (Å³/atom) = 10.44
- size of the total moment (Bohr magnetons per cell) = 0.0

Cell: 6.875 6.875 6.875 Å, 156.36 156.36 33.68°
Atoms (fractional coordinates):
H (0.250, 0.750, 0.500)
H (0.750, 0.250, 0.500)
Pd (0.153, 0.153, 0.000)
Pd (0.847, 0.847, 0.000)
W (0.500, 0.500, 0.000)

Entry 5:
UBiS4 | PBE | relaxed

- calculated volume (Å³/atom) = 30.89
- size of the total moment (Bohr magnetons per cell) = 1.0
- formation energy without anion corrections (eV per atom) = -0.876

Cell: 6.586 4.041 6.964 Å, 90.00 91.02 90.00°
Atoms (fractional coordinates):
U (0.000, 0.000, 0.000)
Bi (0.000, 0.500, 0.500)
S (0.213, 0.500, 0.857)
S (0.220, 0.000, 0.311)
S (0.780, 0.000, 0.689)
S (0.787, 0.500, 0.143)

Entry 6:
Ba3Br2N | PBE | relaxed

- offset from the most stable computed form (meV per atom) = 0
- calculated volume (Å³/atom) = 32.49
- size of the total moment (Bohr magnetons per cell) = 0.0
- formation energy without anion corrections (eV per atom) = -1.293

Cell: 7.540 7.540 8.317 Å, 98.80 98.80 120.00°
Atoms (fractional coordinates):
Ba (0.057, 0.432, 0.799)
Ba (0.192, 0.192, 0.197)
Ba (0.432, 0.057, 0.799)
Ba (0.568, 0.943, 0.201)
Ba (0.808, 0.808, 0.803)
Ba (0.943, 0.568, 0.201)
Br (0.000, 0.000, 0.500)
Br (0.345, 0.655, 0.500)
Br (0.500, 0.500, 0.000)
Br (0.655, 0.345, 0.500)
N (0.169, 0.831, 0.000)
N (0.831, 0.169, 0.000)

Entry 7:
K12Pd3Au5 | PBE | relaxed

- E (eV for the cell shown) = -182.3
- calculated volume (Å³/atom) = 45.12
- size of the total moment (Bohr magnetons per cell) = 0.0

Cell: 16.737 16.737 16.737 Å, 109.47 109.47 109.47°
Atoms (fractional coordinates):
K (0.058, 0.230, 0.135)
K (0.058, 0.328, 0.923)
K (0.077, 0.635, 0.405)
K (0.077, 0.942, 0.672)
K (0.095, 0.730, 0.672)
K (0.095, 0.865, 0.423)
K (0.135, 0.058, 0.230)
K (0.135, 0.577, 0.905)
K (0.172, 0.230, 0.595)
K (0.172, 0.442, 0.577)
K (0.230, 0.135, 0.058)
K (0.230, 0.595, 0.172)
K (0.270, 0.328, 0.905)
K (0.270, 0.442, 0.365)
K (0.328, 0.905, 0.270)
K (0.328, 0.923, 0.058)
K (0.365, 0.270, 0.442)
K (0.365, 0.595, 0.923)
K (0.405, 0.077, 0.635)
K (0.405, 0.828, 0.770)
K (0.423, 0.095, 0.865)
K (0.423, 0.828, 0.558)
K (0.442, 0.365, 0.270)
K (0.442, 0.577, 0.172)
K (0.558, 0.423, 0.828)
K (0.558, 0.635, 0.730)
K (0.577, 0.172, 0.442)
K (0.577, 0.905, 0.135)
K (0.595, 0.172, 0.230)
K (0.595, 0.923, 0.365)
K (0.635, 0.405, 0.077)
K (0.635, 0.730, 0.558)
K (0.672, 0.077, 0.942)
K (0.672, 0.095, 0.730)
K (0.730, 0.558, 0.635)
K (0.730, 0.672, 0.095)
K (0.770, 0.405, 0.828)
K (0.770, 0.865, 0.942)
K (0.828, 0.558, 0.423)
K (0.828, 0.770, 0.405)
K (0.865, 0.423, 0.095)
K (0.865, 0.942, 0.770)
K (0.905, 0.135, 0.577)
K (0.905, 0.270, 0.328)
K (0.923, 0.058, 0.328)
K (0.923, 0.365, 0.595)
K (0.942, 0.672, 0.077)
K (0.942, 0.770, 0.865)
Pd (0.125, 0.250, 0.375)
Pd (0.125, 0.375, 0.750)
Pd (0.250, 0.375, 0.125)
Pd (0.250, 0.875, 0.625)
Pd (0.375, 0.125, 0.250)
Pd (0.375, 0.750, 0.125)
Pd (0.625, 0.250, 0.875)
Pd (0.625, 0.875, 0.750)
Pd (0.750, 0.125, 0.375)
Pd (0.750, 0.625, 0.875)
Pd (0.875, 0.625, 0.250)
Pd (0.875, 0.750, 0.625)
Au (0.000, 0.000, 0.000)
Au (0.000, 0.000, 0.500)
Au (0.000, 0.500, 0.000)
Au (0.000, 0.500, 0.500)
Au (0.125, 0.750, 0.875)
Au (0.125, 0.875, 0.250)
Au (0.250, 0.125, 0.875)
Au (0.250, 0.625, 0.375)
Au (0.375, 0.250, 0.625)
Au (0.375, 0.625, 0.750)
Au (0.500, 0.000, 0.000)
Au (0.500, 0.000, 0.500)
Au (0.500, 0.500, 0.000)
Au (0.500, 0.500, 0.500)
Au (0.625, 0.375, 0.250)
Au (0.625, 0.750, 0.375)
Au (0.750, 0.375, 0.625)
Au (0.750, 0.875, 0.125)
Au (0.875, 0.125, 0.750)
Au (0.875, 0.250, 0.125)

Entry 8:
NiHgBr2 | PBE | relaxed

- offset from the most stable computed form (meV per atom) = 679
- calculated volume (Å³/atom) = 22.96
- size of the total moment (Bohr magnetons per cell) = 1.0
- formation energy without anion corrections (eV per atom) = 0.441

Cell: 5.064 5.064 5.064 Å, 60.00 60.00 60.00°
Atoms (fractional coordinates):
Ni (0.000, 0.000, 0.000)
Hg (0.500, 0.500, 0.500)
Br (0.250, 0.250, 0.250)
Br (0.750, 0.750, 0.750)

Entry 9:
Y2Tm3PuS6 | PBE | relaxed

- calculated volume (Å³/atom) = 20.73
- size of the total moment (Bohr magnetons per cell) = 5.9
- formation energy without anion corrections (eV per atom) = -1.953

Cell: 8.695 8.695 7.807 Å, 103.17 103.17 25.69°
Atoms (fractional coordinates):
Y (0.164, 0.164, 0.329)
Y (0.836, 0.836, 0.671)
Tm (0.165, 0.165, 0.836)
Tm (0.500, 0.500, 0.500)
Tm (0.835, 0.835, 0.164)
Pu (0.500, 0.500, 0.000)
S (0.002, 0.002, 0.744)
S (0.330, 0.330, 0.919)
S (0.334, 0.334, 0.412)
S (0.666, 0.666, 0.588)
S (0.670, 0.670, 0.081)
S (0.998, 0.998, 0.256)

Entry 10:
SrBP2O8 | PBE | relaxed

- calculated volume (Å³/atom) = 12.34
- size of the total moment (Bohr magnetons per cell) = 0.0
- formation energy without anion corrections (eV per atom) = -1.913

Cell: 7.873 7.873 7.873 Å, 35.64 35.64 35.64°
Atoms (fractional coordinates):
Sr (0.000, 0.000, 0.000)
B (0.500, 0.500, 0.500)
P (0.233, 0.233, 0.233)
P (0.767, 0.767, 0.767)
O (0.137, 0.613, 0.613)
O (0.303, 0.303, 0.303)
O (0.387, 0.387, 0.863)
O (0.387, 0.863, 0.387)
O (0.613, 0.137, 0.613)
O (0.613, 0.613, 0.137)
O (0.697, 0.697, 0.697)
O (0.863, 0.387, 0.387)

Entry 11:
NaLaDy | PBE | relaxed

- offset from the most stable computed form (meV per atom) = 26
- calculated volume (Å³/atom) = 34.71
- size of the total moment (Bohr magnetons per cell) = 0.0

Cell: 5.719 5.719 7.351 Å, 90.02 90.02 60.00°
Atoms (fractional coordinates):
Na (0.167, 0.167, 0.001)
Na (0.833, 0.833, 0.999)
La (0.501, 0.498, 0.268)
La (0.502, 0.499, 0.732)
Dy (0.168, 0.166, 0.500)
Dy (0.834, 0.832, 0.500)

Entry 12:
TbPmTm2Te6 | PBE | relaxed

- calculated volume (Å³/atom) = 36.12
- size of the total moment (Bohr magnetons per cell) = 0.0
- formation energy without anion corrections (eV per atom) = -1.351

Cell: 8.304 8.304 8.304 Å, 55.36 55.36 55.36°
Atoms (fractional coordinates):
Tb (0.000, 0.000, 0.000)
Pm (0.502, 0.502, 0.502)
Tm (0.314, 0.314, 0.314)
Tm (0.813, 0.813, 0.813)
Te (0.083, 0.414, 0.714)
Te (0.206, 0.922, 0.586)
Te (0.414, 0.714, 0.083)
Te (0.586, 0.206, 0.922)
Te (0.714, 0.083, 0.414)
Te (0.922, 0.586, 0.206)